Density functional theory data (PBE with a Hubbard U) for crystalline NbCoRhO6 at its relaxed geometry.

It has space group P4_2nm (No. 102), with a = 4.638 Å, b = 4.638 Å, c = 8.960 Å, α = 90.00°, β = 90.00° and γ = 90.00°. The inequivalent atoms are Nb at (0.000, 0.000, 0.000), Co at (0.000, 0.000, 0.341), Rh at (0.000, 0.000, 0.679), O at (0.189, 0.189, 0.505), O at (0.193, 0.193, 0.178) and O at (0.213, 0.213, 0.848).

The calculation puts the density at 6.0 Mg/m³. For the density of states at the Fermi level, the calculation gives 3.5 states/eV/f.u. For the final energy, the calculation gives -0.2655 Ha/atom. The calculated volume comes out at 192.7 Å³ per cell.